1.
! TcPdO3 (PBE, optimized geometry); values from VASP
! mass density = 7344 kg/m3
! ΔE_f (raw) = -0.606 eV per atom
! raw total energy = -6.69 eV per atom
! magnetic moment = 0.00 μB/cell
&SYSTEM
  ibrav = 0, nat = 5, ntyp = 3
/
ATOMIC_SPECIES
Tc 98.00 Tc.upf
Pd 106.42 Pd.upf
O 16.00 O.upf
ATOMIC_POSITIONS crystal
Tc 0.000 0.000 0.000
Pd 0.500 0.500 0.500
O 0.000 0.000 0.500
O 0.000 0.500 0.000
O 0.500 0.000 0.000
CELL_PARAMETERS angstrom
3.850 0.000 0.000
0.000 3.850 0.000
0.000 0.000 3.850


2.
! Tc3PdO12 (PBE, optimized geometry); values from VASP
! mass density = 3089 kg/m3
! ΔE_f (raw) = -1.106 eV per atom
! raw total energy = -7.09 eV per atom
! magnetic moment = 2.11 μB/cell
&SYSTEM
  ibrav = 0, nat = 32, ntyp = 3
/
ATOMIC_SPECIES
Tc 98.00 Tc.upf
Pd 106.42 Pd.upf
O 16.00 O.upf
ATOMIC_POSITIONS crystal
Tc 0.024 0.370 0.607
Tc 0.107 0.870 0.524
Tc 0.370 0.607 0.024
Tc 0.524 0.107 0.870
Tc 0.607 0.024 0.370
Tc 0.870 0.524 0.107
Pd 0.244 0.244 0.244
Pd 0.744 0.744 0.744
O 0.061 0.387 0.407
O 0.092 0.092 0.420
O 0.092 0.420 0.092
O 0.128 0.750 0.724
O 0.224 0.250 0.628
O 0.250 0.628 0.224
O 0.259 0.793 0.884
O 0.293 0.759 0.384
O 0.384 0.293 0.759
O 0.387 0.407 0.061
O 0.407 0.061 0.387
O 0.420 0.092 0.092
O 0.561 0.907 0.887
O 0.592 0.592 0.920
O 0.592 0.920 0.592
O 0.628 0.224 0.250
O 0.724 0.128 0.750
O 0.750 0.724 0.128
O 0.759 0.384 0.293
O 0.793 0.884 0.259
O 0.884 0.259 0.793
O 0.887 0.561 0.907
O 0.907 0.887 0.561
O 0.920 0.592 0.592
CELL_PARAMETERS angstrom
4.424 2.554 9.395
-4.424 2.554 9.395
0.000 -5.108 9.395


3.
! TcPd2O (PBE, optimized geometry); values from VASP
! mass density = 9706 kg/m3
! ΔE_f (raw) = 0.452 eV per atom
! raw total energy = -5.98 eV per atom
! magnetic moment = 3.41 μB/cell
&SYSTEM
  ibrav = 0, nat = 8, ntyp = 3
/
ATOMIC_SPECIES
Tc 98.00 Tc.upf
Pd 106.42 Pd.upf
O 16.00 O.upf
ATOMIC_POSITIONS crystal
Tc 0.000 0.000 0.000
Tc 0.750 0.250 0.500
Pd 0.177 0.125 0.552
Pd 0.375 0.823 0.948
Pd 0.573 0.625 0.448
Pd 0.875 0.427 0.052
O 0.250 0.750 0.500
O 0.500 0.500 0.000
CELL_PARAMETERS angstrom
-3.392 3.392 2.431
3.392 -3.392 2.431
3.392 3.392 -2.431


4.
! Tc2PdO8 (PBE, optimized geometry); values from VASP
! mass density = 3252 kg/m3
! ΔE_f (raw) = -1.025 eV per atom
! raw total energy = -6.99 eV per atom
! magnetic moment = 0.00 μB/cell
&SYSTEM
  ibrav = 0, nat = 11, ntyp = 3
/
ATOMIC_SPECIES
Tc 98.00 Tc.upf
Pd 106.42 Pd.upf
O 16.00 O.upf
ATOMIC_POSITIONS crystal
Tc 0.195 0.195 0.208
Tc 0.805 0.805 0.792
Pd 0.000 0.000 0.500
O 0.077 0.694 0.663
O 0.165 0.165 0.925
O 0.306 0.923 0.337
O 0.364 0.364 0.261
O 0.636 0.636 0.739
O 0.694 0.077 0.663
O 0.835 0.835 0.075
O 0.923 0.306 0.337
CELL_PARAMETERS angstrom
4.994 -3.638 0.000
4.994 3.638 0.000
-0.278 0.000 6.048


5.
! TcPdO6 (PBE, optimized geometry); values from VASP
! mass density = 4448 kg/m3
! ΔE_f (raw) = -0.396 eV per atom
! raw total energy = -6.06 eV per atom
! magnetic moment = 0.83 μB/cell
&SYSTEM
  ibrav = 0, nat = 8, ntyp = 3
/
ATOMIC_SPECIES
Tc 98.00 Tc.upf
Pd 106.42 Pd.upf
O 16.00 O.upf
ATOMIC_POSITIONS crystal
Tc 0.000 0.000 0.000
Pd 0.500 0.500 0.500
O 0.244 0.244 0.756
O 0.244 0.756 0.244
O 0.244 0.756 0.756
O 0.756 0.244 0.244
O 0.756 0.244 0.756
O 0.756 0.756 0.244
CELL_PARAMETERS angstrom
0.000 3.827 3.827
3.827 0.000 3.827
3.827 3.827 0.000


6.
! TcPdO (PBE, optimized geometry); values from VASP
! mass density = 8932 kg/m3
! ΔE_f (raw) = -0.309 eV per atom
! raw total energy = -7.15 eV per atom
! magnetic moment = 0.00 μB/cell
&SYSTEM
  ibrav = 0, nat = 6, ntyp = 3
/
ATOMIC_SPECIES
Tc 98.00 Tc.upf
Pd 106.42 Pd.upf
O 16.00 O.upf
ATOMIC_POSITIONS crystal
Tc 0.245 0.245 0.186
Tc 0.755 0.755 0.814
Pd 0.087 0.087 0.400
Pd 0.913 0.913 0.600
O 0.384 0.384 0.065
O 0.616 0.616 0.935
CELL_PARAMETERS angstrom
5.928 -1.370 0.000
5.928 1.370 0.000
-2.564 0.000 5.047